GGA-PBE CrSb2Pt, optimized geometry; electronic total energy = -5.887 eV/atom; formation energy (no corrections) = 91 meV/atom
1.0
-2.2939 2.2939 8.5626
2.2939 -2.2939 8.5626
2.2939 2.2939 -8.5626
Cr Sb Pt
2 4 2
Direct
0.0000 0.0000 0.0000 Cr
0.7500 0.2500 0.5000 Cr
0.1297 0.6250 0.0047 Sb
0.3750 0.3797 0.5047 Sb
0.6203 0.1250 0.9953 Sb
0.8750 0.8703 0.4953 Sb
0.2500 0.7500 0.5000 Pt
0.5000 0.5000 0.0000 Pt